Record 1
# Mg5Co, optimized geometry, DFT PBE
data_Mg5Co
_cell_length_a 4.8335
_cell_length_b 3.0200
_cell_length_c 16.1739
_cell_angle_alpha 90.00
_cell_angle_beta 90.00
_cell_angle_gamma 90.00
_space_group_name_H-M_alt 'A m m 2'
_space_group_IT_number 38
_space_group_name_Hall 'A 2 -2'
loop_
_atom_site_label
_atom_site_type_symbol
_atom_site_fract_x
_atom_site_fract_y
_atom_site_fract_z
Mg1 Mg 0.0000 0.0000 0.0000
Mg2 Mg 0.0000 0.0000 0.2903
Mg3 Mg 0.5000 0.0000 0.1935
Mg4 Mg 0.5000 0.0000 0.5429
Mg5 Mg 0.5000 0.0000 0.8716
Co1 Co 0.0000 0.0000 0.6424
# * energy above the lowest structure with this stoichiometry: 41 kJ/mol of formula units
# * formation energy from the elements: 0.126 eV/atom
# * crystal system: orthorhombic

Record 2
# CsCl, optimized geometry, DFT PBE
data_CsCl
_cell_length_a 5.9685
_cell_length_b 5.9685
_cell_length_c 6.9842
_cell_angle_alpha 90.00
_cell_angle_beta 90.00
_cell_angle_gamma 120.00
_space_group_name_H-M_alt 'P 63/m m c'
_space_group_IT_number 194
_space_group_name_Hall '-P 6c 2c'
loop_
_atom_site_label
_atom_site_type_symbol
_atom_site_fract_x
_atom_site_fract_y
_atom_site_fract_z
Cs1 Cs 0.3333 0.6667 0.2500
Cl1 Cl 0.3333 0.6667 0.7500
# * crystal system: hexagonal
# * formation energy from raw total energies: -1.93 eV/atom

Record 3
# KRb2In3I6, optimized geometry, DFT PBE
data_KRb2In3I6
_cell_length_a 22.2254
_cell_length_b 5.1035
_cell_length_c 10.2013
_cell_angle_alpha 90.00
_cell_angle_beta 103.01
_cell_angle_gamma 90.00
_space_group_name_H-M_alt 'C 1 2/m 1'
_space_group_IT_number 12
_space_group_name_Hall '-C 2y'
loop_
_atom_site_label
_atom_site_type_symbol
_atom_site_fract_x
_atom_site_fract_y
_atom_site_fract_z
K1 K 0.0000 0.0000 0.0000
Rb1 Rb 0.1658 0.5000 0.3289
In1 In 0.0000 0.0000 0.5000
In2 In 0.1654 0.5000 0.8322
I1 I 0.0048 0.5000 0.7522
I2 I 0.1636 0.0000 0.5888
I3 I 0.1652 0.0000 0.0686
# * crystal system: monoclinic
# * formation energy from raw total energies: -0.96 eV/atom

Record 4
# Mn2Co2Ru, optimized geometry, DFT PBE
data_Mn2Co2Ru
_cell_length_a 6.6915
_cell_length_b 6.6915
_cell_length_c 2.5391
_cell_angle_alpha 90.00
_cell_angle_beta 90.00
_cell_angle_gamma 90.00
_space_group_name_H-M_alt 'P 4/m b m'
_space_group_IT_number 127
_space_group_name_Hall '-P 4 2ab'
loop_
_atom_site_label
_atom_site_type_symbol
_atom_site_fract_x
_atom_site_fract_y
_atom_site_fract_z
Mn1 Mn 0.1740 0.3260 0.0000
Co1 Co 0.1227 0.6227 0.5000
Ru1 Ru 0.0000 0.0000 0.5000
# * energy above the lowest structure with this stoichiometry: 0 kJ/mol of formula units
# * formation energy from the elements: 0.195 eV/atom
# * crystal system: tetragonal

Record 5
# BaMg3Ga2, optimized geometry, DFT PBE
data_BaMg3Ga2
_cell_length_a 18.7439
_cell_length_b 4.4627
_cell_length_c 7.9846
_cell_angle_alpha 90.00
_cell_angle_beta 114.97
_cell_angle_gamma 90.00
_space_group_name_H-M_alt 'C 1 2/m 1'
_space_group_IT_number 12
_space_group_name_Hall '-C 2y'
loop_
_atom_site_label
_atom_site_type_symbol
_atom_site_fract_x
_atom_site_fract_y
_atom_site_fract_z
Ba1 Ba 0.1059 0.0000 0.1046
Mg1 Mg 0.0826 0.0000 0.5808
Mg2 Mg 0.1842 0.5000 0.8695
Mg3 Mg 0.1847 0.5000 0.4983
Ga1 Ga 0.0006 0.5000 0.6838
Ga2 Ga 0.2426 0.0000 0.7438
# * energy above the lowest structure with this stoichiometry: 11 kJ/mol of formula units
# * formation energy from the elements: -0.263 eV/atom
# * crystal system: monoclinic

Record 6
# Tb4CeSm15, optimized geometry, DFT PBE
data_Tb4CeSm15
_cell_length_a 5.1093
_cell_length_b 5.1093
_cell_length_c 25.5486
_cell_angle_alpha 90.00
_cell_angle_beta 90.00
_cell_angle_gamma 90.00
_space_group_name_H-M_alt 'P 4/m m m'
_space_group_IT_number 123
_space_group_name_Hall '-P 4 2'
loop_
_atom_site_label
_atom_site_type_symbol
_atom_site_fract_x
_atom_site_fract_y
_atom_site_fract_z
Tb1 Tb 0.0000 0.0000 0.1001
Tb2 Tb 0.0000 0.0000 0.3004
Ce1 Ce 0.0000 0.0000 0.5000
Sm1 Sm 0.0000 0.5000 0.0000
Sm2 Sm 0.0000 0.5000 0.2002
Sm3 Sm 0.0000 0.5000 0.4008
Sm4 Sm 0.5000 0.5000 0.0998
Sm5 Sm 0.5000 0.5000 0.2990
Sm6 Sm 0.5000 0.5000 0.5000
# * formation energy from the elements: 0.029 eV/atom
# * crystal system: tetragonal

Record 7
# BaLaBr, optimized geometry, DFT PBE
data_BaLaBr
_cell_length_a 7.6829
_cell_length_b 7.6829
_cell_length_c 7.6829
_cell_angle_alpha 90.00
_cell_angle_beta 90.00
_cell_angle_gamma 90.00
_space_group_name_H-M_alt 'F -4 3 m'
_space_group_IT_number 216
_space_group_name_Hall 'F -4 2 3'
loop_
_atom_site_label
_atom_site_type_symbol
_atom_site_fract_x
_atom_site_fract_y
_atom_site_fract_z
Ba1 Ba 0.0000 0.0000 0.0000
La1 La 0.0000 0.0000 0.5000
Br1 Br 0.2500 0.2500 0.7500
# * energy above the lowest structure with this stoichiometry: 94 kJ/mol of formula units
# * crystal system: cubic
# * formation energy from raw total energies: -0.48 eV/atom

Record 8
# Li2ScMo, optimized geometry, DFT PBE
data_Li2ScMo
_cell_length_a 6.6227
_cell_length_b 6.6227
_cell_length_c 6.6227
_cell_angle_alpha 90.00
_cell_angle_beta 90.00
_cell_angle_gamma 90.00
_space_group_name_H-M_alt 'F -4 3 m'
_space_group_IT_number 216
_space_group_name_Hall 'F -4 2 3'
loop_
_atom_site_label
_atom_site_type_symbol
_atom_site_fract_x
_atom_site_fract_y
_atom_site_fract_z
Li1 Li 0.0000 0.0000 0.0000
Li2 Li 0.2500 0.2500 0.2500
Sc1 Sc 0.0000 0.0000 0.5000
Mo1 Mo 0.2500 0.2500 0.7500
# * energy above the lowest structure with this stoichiometry: 135 kJ/mol of formula units
# * formation energy from the elements: 0.577 eV/atom
# * crystal system: cubic

Record 9
# HfTlSiSe2, optimized geometry, DFT PBE
data_HfTlSiSe2
_cell_length_a 5.2303
_cell_length_b 5.2303
_cell_length_c 5.6154
_cell_angle_alpha 90.00
_cell_angle_beta 90.00
_cell_angle_gamma 90.00
_space_group_name_H-M_alt 'P 4/m m m'
_space_group_IT_number 123
_space_group_name_Hall '-P 4 2'
loop_
_atom_site_label
_atom_site_type_symbol
_atom_site_fract_x
_atom_site_fract_y
_atom_site_fract_z
Hf1 Hf 0.0000 0.0000 0.0000
Tl1 Tl 0.0000 0.0000 0.5000
Si1 Si 0.5000 0.5000 0.0000
Se1 Se 0.0000 0.5000 0.5000
# * crystal system: tetragonal
# * formation energy from raw total energies: 1.33 eV/atom

Record 10
# Rb2AlInCl6, optimized geometry, DFT PBE
data_Rb2AlInCl6
_cell_length_a 7.4820
_cell_length_b 7.6782
_cell_length_c 13.0192
_cell_angle_alpha 90.00
_cell_angle_beta 124.82
_cell_angle_gamma 90.00
_space_group_name_H-M_alt 'P 1 21/c 1'
_space_group_IT_number 14
_space_group_name_Hall '-P 2ybc'
loop_
_atom_site_label
_atom_site_type_symbol
_atom_site_fract_x
_atom_site_fract_y
_atom_site_fract_z
Rb1 Rb 0.2338 0.0559 0.2481
Al1 Al 0.0000 0.0000 0.5000
In1 In 0.5000 0.0000 0.0000
Cl1 Cl 0.1296 0.2436 0.9616
Cl2 Cl 0.2199 0.6714 0.9629
Cl3 Cl 0.2871 0.0150 0.7142
# * energy above the lowest structure with this stoichiometry: 0 kJ/mol of formula units
# * crystal system: monoclinic
# * formation energy from raw total energies: -1.57 eV/atom

Record 11
# Rb2HfMnSe, optimized geometry, DFT PBE
data_Rb2HfMnSe
_cell_length_a 6.7782
_cell_length_b 6.7782
_cell_length_c 4.6425
_cell_angle_alpha 90.00
_cell_angle_beta 90.00
_cell_angle_gamma 90.00
_space_group_name_H-M_alt 'P 4/m m m'
_space_group_IT_number 123
_space_group_name_Hall '-P 4 2'
loop_
_atom_site_label
_atom_site_type_symbol
_atom_site_fract_x
_atom_site_fract_y
_atom_site_fract_z
Rb1 Rb 0.0000 0.5000 0.0000
Hf1 Hf 0.0000 0.0000 0.5000
Mn1 Mn 0.5000 0.5000 0.5000
Se1 Se 0.5000 0.5000 0.0000
# * crystal system: tetragonal
# * formation energy from raw total energies: 0.80 eV/atom

Record 12
# Mn6FeRe2, optimized geometry, DFT PBE
data_Mn6FeRe2
_cell_length_a 4.7406
_cell_length_b 4.7406
_cell_length_c 5.5304
_cell_angle_alpha 90.00
_cell_angle_beta 90.00
_cell_angle_gamma 120.00
_space_group_name_H-M_alt 'P -3 m 1'
_space_group_IT_number 164
_space_group_name_Hall '-P 3 2"'
loop_
_atom_site_label
_atom_site_type_symbol
_atom_site_fract_x
_atom_site_fract_y
_atom_site_fract_z
Mn1 Mn 0.1770 0.3540 0.3316
Fe1 Fe 0.0000 0.0000 0.0000
Re1 Re 0.3333 0.6667 0.8818
# * formation energy from the elements: 0.236 eV/atom
# * crystal system: trigonal